The following is a DFT calculation (PBE-GGA) of a relaxed CsGaHPb2 crystal.

Properties
The total energy comes out at -13.09 eV per cell.

abc: 6.396 6.396 3.582
angles: 90.00 90.00 90.00
Space group P4/mmm (No. 123)
Asymmetric unit:
Cs  0.000  0.000  0.000
Ga  0.500  0.500  0.500
H  0.500  0.500  0.000
Pb  0.000  0.500  0.500